Run w
{"formula": "CaTmZnIn", "functional": "PBE-GGA", "state": "optimized geometry", "volume_a3_per_fu": 100.6, "dos_at_fermi_per_ev_atom": 0.506, "m_tot_mub_per_atom": 0.00, "cell": [[-0.844, -3.355, 3.909], [3.604, -0.630, 3.723], [-0.891, 1.784, 4.824]], "species": ["Zn", "Tm", "Ca", "In"], "fractional_positions": [[0.000, 0.000, 0.000], [0.250, 0.250, 0.250], [0.750, 0.750, 0.750], [0.500, 0.500, 0.500]]}

Run x
{"formula": "CaTmZnIn", "functional": "PBE-GGA", "state": "optimized geometry", "volume_a3_per_fu": 100.5, "dos_at_fermi_per_ev_atom": 0.733, "m_tot_mub_per_atom": 0.02, "cell": [[3.644, 0.000, 0.000], [0.000, 3.644, 0.000], [0.000, 0.000, 7.573]], "species": ["Ca", "Tm", "Zn", "In"], "fractional_positions": [[0.500, 0.500, 0.592], [0.500, 0.500, 0.128], [0.000, 0.000, 0.339], [0.000, 0.000, 0.870]]}

Relative energies, unit meV per atom: run w 20; run x 0

Run w
{"formula": "Ca3VIn", "functional": "PBE-GGA", "state": "optimized geometry", "volume_a3_per_fu": 187.4, "dos_at_fermi_per_ev_atom": 0.964, "m_tot_mub_per_atom": 0.85, "cell": [[5.722, 0.000, 0.000], [0.000, 5.722, 0.000], [0.000, 0.000, 5.722]], "species": ["Ca", "Ca", "Ca", "In", "V"], "fractional_positions": [[0.000, 0.500, 0.000], [0.000, 0.000, 0.500], [0.500, 0.000, 0.000], [0.500, 0.500, 0.500], [0.000, 0.000, 0.000]]}

Run x
{"formula": "Ca3VIn", "functional": "PBE-GGA", "state": "optimized geometry", "volume_a3_per_fu": 205.2, "dos_at_fermi_per_ev_atom": 1.644, "m_tot_mub_per_atom": 0.81, "cell": [[-3.626, 3.758, 2.741], [-4.148, -4.185, 0.249], [2.104, -1.775, 5.216]], "species": ["Ca", "Ca", "Ca", "In", "V"], "fractional_positions": [[0.000, 0.500, 0.000], [0.000, 0.000, 0.500], [0.500, 0.000, 0.000], [0.000, 0.000, 0.000], [0.500, 0.500, 0.500]]}

Relative energies, unit meV per atom: run w 0; run x 68

Run w
{"formula": "CaIn2W", "functional": "PBE-GGA", "state": "optimized geometry", "volume_a3_per_fu": 88.1, "dos_at_fermi_per_ev_atom": 0.144, "m_tot_mub_per_atom": 0.00, "cell": [[-2.675, -2.209, -4.568], [2.939, -0.109, -4.925], [0.927, -1.563, 5.441]], "species": ["Ca", "W", "In", "In"], "fractional_positions": [[0.750, 0.250, 0.500], [0.500, 0.500, 0.000], [0.000, 0.000, 0.000], [0.250, 0.750, 0.500]]}

Run x
{"formula": "CaIn2W", "functional": "PBE-GGA", "state": "optimized geometry", "volume_a3_per_fu": 86.4, "dos_at_fermi_per_ev_atom": 0.762, "m_tot_mub_per_atom": 0.00, "cell": [[3.014, 0.000, 0.000], [0.000, 4.382, 0.000], [0.000, 0.000, 6.539]], "species": ["Ca", "W", "In", "In"], "fractional_positions": [[0.500, 0.500, 0.750], [0.500, 0.500, 0.250], [0.000, 0.000, 0.028], [0.000, 0.000, 0.472]]}

Relative energies, unit meV per atom: run w 195; run x 0

Run w
{"formula": "CaIn2W", "functional": "PBE-GGA", "state": "optimized geometry", "volume_a3_per_fu": 86.0, "dos_at_fermi_per_ev_atom": 1.121, "m_tot_mub_per_atom": 0.00, "cell": [[5.296, 0.000, -0.002], [1.456, 5.092, 0.002], [-3.373, -2.550, 3.189]], "species": ["Ca", "W", "In", "In"], "fractional_positions": [[0.750, 0.250, 0.500], [0.250, 0.750, 0.500], [0.000, 0.000, 0.000], [0.500, 0.500, 0.000]]}

Run x
{"formula": "CaIn2W", "functional": "PBE-GGA", "state": "optimized geometry", "volume_a3_per_fu": 85.3, "dos_at_fermi_per_ev_atom": 0.839, "m_tot_mub_per_atom": 0.00, "cell": [[5.489, -0.014, -0.017], [-3.479, 5.956, 0.039], [0.013, 1.539, 2.620]], "species": ["Ca", "W", "In", "In"], "fractional_positions": [[0.500, 0.000, 0.500], [0.500, 0.500, 0.000], [0.000, 0.000, 0.000], [0.000, 0.500, 0.500]]}

Run y
{"formula": "CaIn2W", "functional": "PBE-GGA", "state": "optimized geometry", "volume_a3_per_fu": 87.5, "dos_at_fermi_per_ev_atom": 0.670, "m_tot_mub_per_atom": 0.00, "cell": [[-2.341, -4.576, 1.109], [1.243, 0.026, 2.731], [-4.242, 2.736, 2.332]], "species": ["Ca", "W", "In", "In"], "fractional_positions": [[0.500, 0.700, 0.766], [0.000, 0.486, 0.475], [0.000, 0.130, 0.981], [0.500, 0.184, 0.278]]}

Run z
{"formula": "CaIn2W", "functional": "PBE-GGA", "state": "optimized geometry", "volume_a3_per_fu": 91.2, "dos_at_fermi_per_ev_atom": 0.254, "m_tot_mub_per_atom": 0.00, "cell": [[10.436, -0.002, -0.001], [9.945, 3.163, -0.001], [9.945, 1.542, 2.761]], "species": ["Ca", "W", "In", "In"], "fractional_positions": [[0.756, 0.756, 0.756], [0.503, 0.503, 0.503], [0.997, 0.997, 0.997], [0.244, 0.244, 0.244]]}

Relative energies, unit meV per atom: run w 0; run x 24; run y 46; run z 128

Run w
{"formula": "CaIn2W", "functional": "PBE-GGA", "state": "optimized geometry", "volume_a3_per_fu": 88.5, "dos_at_fermi_per_ev_atom": 0.769, "m_tot_mub_per_atom": 0.49, "cell": [[3.711, 1.709, 2.884], [-0.426, 4.446, 2.250], [-0.597, 0.246, 4.959]], "species": ["Ca", "W", "In", "In"], "fractional_positions": [[0.000, 0.000, 0.000], [0.500, 0.500, 0.500], [0.250, 0.250, 0.250], [0.750, 0.750, 0.750]]}

Run x
{"formula": "CaIn2W", "functional": "PBE-GGA", "state": "optimized geometry", "volume_a3_per_fu": 89.1, "dos_at_fermi_per_ev_atom": 0.566, "m_tot_mub_per_atom": 0.00, "cell": [[3.591, 0.000, 0.000], [0.000, 3.591, 0.000], [0.000, 0.000, 6.910]], "species": ["Ca", "W", "In", "In"], "fractional_positions": [[0.500, 0.500, 0.750], [0.500, 0.500, 0.250], [0.000, 0.000, 0.038], [0.000, 0.000, 0.462]]}

Relative energies, unit meV per atom: run w 124; run x 0

Run w
{"formula": "Ca2In2W", "functional": "PBE-GGA", "state": "optimized geometry", "volume_a3_per_fu": 123.7, "dos_at_fermi_per_ev_atom": 0.852, "m_tot_mub_per_atom": 0.26, "cell": [[4.134, 0.000, 0.000], [0.000, 4.134, 0.000], [2.067, 2.067, 7.236]], "species": ["Ca", "Ca", "W", "In", "In"], "fractional_positions": [[0.750, 0.250, 0.500], [0.250, 0.750, 0.500], [0.000, 0.000, 0.000], [0.409, 0.409, 0.183], [0.591, 0.591, 0.817]]}

Run x
{"formula": "Ca2In2W", "functional": "PBE-GGA", "state": "optimized geometry", "volume_a3_per_fu": 134.7, "dos_at_fermi_per_ev_atom": 1.074, "m_tot_mub_per_atom": 0.31, "cell": [[7.365, 0.000, 0.000], [0.000, 7.365, 0.000], [0.000, 0.000, 4.968]], "species": ["Ca", "Ca", "Ca", "Ca", "W", "W", "In", "In", "In", "In"], "fractional_positions": [[0.176, 0.676, 0.500], [0.676, 0.824, 0.500], [0.824, 0.324, 0.500], [0.324, 0.176, 0.500], [0.000, 0.000, 0.000], [0.500, 0.500, 0.000], [0.356, 0.856, 0.000], [0.856, 0.644, 0.000], [0.644, 0.144, 0.000], [0.144, 0.356, 0.000]]}

Relative energies, unit meV per atom: run w 511; run x 0

Run w
{"formula": "Ca3InW", "functional": "PBE-GGA", "state": "optimized geometry", "volume_a3_per_fu": 170.8, "dos_at_fermi_per_ev_atom": 0.469, "m_tot_mub_per_atom": 0.18, "cell": [[5.548, 0.000, 0.000], [0.000, 5.548, 0.000], [0.000, 0.000, 5.548]], "species": ["Ca", "Ca", "Ca", "W", "In"], "fractional_positions": [[0.000, 0.500, 0.000], [0.000, 0.000, 0.500], [0.500, 0.000, 0.000], [0.000, 0.000, 0.000], [0.500, 0.500, 0.500]]}

Run x
{"formula": "Ca3InW", "functional": "PBE-GGA", "state": "optimized geometry", "volume_a3_per_fu": 201.2, "dos_at_fermi_per_ev_atom": 0.445, "m_tot_mub_per_atom": 1.00, "cell": [[-2.942, -2.805, -4.221], [4.828, -0.067, -3.320], [1.541, -5.145, 2.345]], "species": ["Ca", "Ca", "Ca", "W", "In"], "fractional_positions": [[0.000, 0.500, 0.000], [0.000, 0.000, 0.500], [0.500, 0.000, 0.000], [0.500, 0.500, 0.500], [0.000, 0.000, 0.000]]}

Relative energies, unit meV per atom: run w 0; run x 280

Run w
{"formula": "CaYIn", "functional": "PBE-GGA", "state": "optimized geometry", "volume_a3_per_fu": 90.5, "dos_at_fermi_per_ev_atom": 1.067, "m_tot_mub_per_atom": 0.00, "cell": [[-8.343, -0.907, 2.153], [-0.074, -4.929, -2.361], [0.173, -1.696, 3.536]], "species": ["Y", "Y", "Ca", "Ca", "In", "In"], "fractional_positions": [[0.821, 0.598, 0.167], [0.438, 0.597, 0.859], [0.127, 0.098, 0.014], [0.743, 0.098, 0.706], [0.118, 0.597, 0.519], [0.450, 0.097, 0.352]]}

Run x
{"formula": "CaYIn", "functional": "PBE-GGA", "state": "optimized geometry", "volume_a3_per_fu": 92.7, "dos_at_fermi_per_ev_atom": 0.838, "m_tot_mub_per_atom": 0.00, "cell": [[-0.350, 6.135, -4.292], [-1.844, -5.469, -4.329], [-3.140, 0.985, 1.664]], "species": ["Y", "Y", "Ca", "Ca", "In", "In"], "fractional_positions": [[0.701, 0.058, 0.139], [0.364, 0.636, 0.428], [0.212, 0.050, 0.135], [0.854, 0.645, 0.432], [0.032, 0.347, 0.783], [0.533, 0.348, 0.784]]}

Run y
{"formula": "CaYIn", "functional": "PBE-GGA", "state": "optimized geometry", "volume_a3_per_fu": 143.0, "dos_at_fermi_per_ev_atom": 1.740, "m_tot_mub_per_atom": 0.14, "cell": [[4.572, -2.640, 0.000], [0.000, 5.280, 0.000], [0.000, 0.000, 11.850]], "species": ["Y", "Y", "Ca", "Ca", "In", "In"], "fractional_positions": [[0.000, 0.000, 0.000], [0.000, 0.000, 0.500], [0.333, 0.667, 0.250], [0.667, 0.333, 0.750], [0.000, 0.000, 0.250], [0.000, 0.000, 0.750]]}

Run z
{"formula": "CaYIn", "functional": "PBE-GGA", "state": "optimized geometry", "volume_a3_per_fu": 91.9, "dos_at_fermi_per_ev_atom": 0.689, "m_tot_mub_per_atom": 0.00, "cell": [[-2.443, -1.167, 5.766], [-6.652, -2.114, 0.349], [-0.399, -5.109, 1.202]], "species": ["Y", "Y", "Ca", "Ca", "In", "In"], "fractional_positions": [[0.919, 0.093, 0.339], [0.508, 0.711, 0.236], [0.460, 0.289, 0.971], [0.968, 0.516, 0.604], [0.030, 0.792, 0.935], [0.397, 0.013, 0.641]]}

Relative energies, unit meV per atom: run w 19; run x 7; run y 845; run z 0

Run w
{"formula": "CaYIn", "functional": "PBE-GGA", "state": "optimized geometry", "volume_a3_per_fu": 90.6, "dos_at_fermi_per_ev_atom": 0.805, "m_tot_mub_per_atom": 0.00, "cell": [[-1.569, 4.854, 1.567], [-3.013, -2.813, -3.390], [-1.794, -1.495, 2.834]], "species": ["Y", "Ca", "In"], "fractional_positions": [[0.333, 0.667, 0.610], [0.000, 0.000, 0.049], [0.667, 0.333, 0.341]]}

Run x
{"formula": "CaYIn", "functional": "PBE-GGA", "state": "optimized geometry", "volume_a3_per_fu": 104.1, "dos_at_fermi_per_ev_atom": 0.134, "m_tot_mub_per_atom": 0.00, "cell": [[0.000, 3.734, 3.734], [3.734, 0.000, 3.734], [3.734, 3.734, 0.000]], "species": ["Y", "Ca", "In"], "fractional_positions": [[0.250, 0.250, 0.250], [0.750, 0.750, 0.750], [0.000, 0.000, 0.000]]}

Relative energies, unit meV per atom: run w 0; run x 30

Run w
{"formula": "CaYIn", "functional": "PBE-GGA", "state": "optimized geometry", "volume_a3_per_fu": 88.6, "dos_at_fermi_per_ev_atom": 0.862, "m_tot_mub_per_atom": 0.00, "cell": [[-1.457, 5.342, -4.679], [-3.539, 1.572, 2.897], [6.581, 5.990, 4.790]], "species": ["Y", "Y", "Y", "Y", "Ca", "Ca", "Ca", "Ca", "In", "In", "In", "In"], "fractional_positions": [[0.390, 0.250, 0.390], [0.110, 0.750, 0.890], [0.610, 0.750, 0.610], [0.890, 0.250, 0.110], [0.868, 0.250, 0.431], [0.632, 0.750, 0.931], [0.132, 0.750, 0.569], [0.368, 0.250, 0.069], [0.861, 0.250, 0.767], [0.639, 0.750, 0.267], [0.139, 0.750, 0.233], [0.361, 0.250, 0.733]]}

Run x
{"formula": "CaYIn", "functional": "PBE-GGA", "state": "optimized geometry", "volume_a3_per_fu": 91.9, "dos_at_fermi_per_ev_atom": 0.758, "m_tot_mub_per_atom": 0.00, "cell": [[-5.497, -3.218, 0.019], [0.548, -6.872, 0.662], [2.935, 3.448, 4.481]], "species": ["Y", "Y", "Ca", "Ca", "In", "In"], "fractional_positions": [[0.140, 0.992, 0.002], [0.490, 0.821, 0.651], [0.861, 0.575, 0.280], [0.221, 0.401, 0.921], [0.535, 0.309, 0.607], [0.830, 0.065, 0.312]]}

Run y
{"formula": "CaYIn", "functional": "PBE-GGA", "state": "optimized geometry", "volume_a3_per_fu": 97.3, "dos_at_fermi_per_ev_atom": 0.469, "m_tot_mub_per_atom": 0.00, "cell": [[-0.951, -4.141, 2.555], [1.289, -2.725, -3.936], [7.492, -0.146, 2.554]], "species": ["Y", "Y", "Ca", "Ca", "In", "In"], "fractional_positions": [[0.000, 0.500, 0.253], [0.500, 0.000, 0.747], [0.000, 0.500, 0.795], [0.500, 0.000, 0.205], [0.000, 0.000, 0.500], [0.500, 0.500, 0.500]]}

Relative energies, unit meV per atom: run w 63; run x 0; run y 168

Run w
{"formula": "CaYIn", "functional": "PBE-GGA", "state": "optimized geometry", "volume_a3_per_fu": 92.6, "dos_at_fermi_per_ev_atom": 0.725, "m_tot_mub_per_atom": 0.10, "cell": [[-6.189, -3.893, 1.658], [-5.197, -5.166, -1.589], [1.256, -3.019, 1.568]], "species": ["Y", "Ca", "In"], "fractional_positions": [[0.688, 0.688, 0.312], [0.982, 0.982, 0.018], [0.330, 0.330, 0.670]]}

Run x
{"formula": "CaYIn", "functional": "PBE-GGA", "state": "optimized geometry", "volume_a3_per_fu": 93.8, "dos_at_fermi_per_ev_atom": 0.782, "m_tot_mub_per_atom": 0.00, "cell": [[-4.688, -1.888, 12.819], [-2.270, -2.641, -1.219], [2.624, -2.526, 0.587]], "species": ["Y", "Y", "Ca", "Ca", "In", "In"], "fractional_positions": [[0.299, 0.440, 0.038], [0.585, 0.440, 0.038], [0.009, 0.440, 0.038], [0.787, 0.940, 0.538], [0.156, 0.940, 0.538], [0.445, 0.941, 0.538]]}

Run y
{"formula": "CaYIn", "functional": "PBE-GGA", "state": "optimized geometry", "volume_a3_per_fu": 93.3, "dos_at_fermi_per_ev_atom": 0.841, "m_tot_mub_per_atom": 0.00, "cell": [[-7.678, 1.636, -4.065], [3.388, -4.072, -0.916], [-3.626, -3.435, 1.928]], "species": ["Y", "Y", "Ca", "Ca", "In", "In"], "fractional_positions": [[0.958, 0.902, 0.893], [0.401, 0.344, 0.172], [0.980, 0.424, 0.382], [0.379, 0.822, 0.683], [0.679, 0.123, 0.033], [0.679, 0.623, 0.533]]}

Run z
{"formula": "CaYIn", "functional": "PBE-GGA", "state": "optimized geometry", "volume_a3_per_fu": 88.0, "dos_at_fermi_per_ev_atom": 0.147, "m_tot_mub_per_atom": 0.00, "cell": [[4.703, -2.715, 0.000], [0.000, 5.431, 0.000], [0.000, 0.000, 6.892]], "species": ["Y", "Y", "Ca", "Ca", "In", "In"], "fractional_positions": [[0.333, 0.667, 0.750], [0.667, 0.333, 0.250], [0.000, 0.000, 0.000], [0.000, 0.000, 0.500], [0.333, 0.667, 0.250], [0.667, 0.333, 0.750]]}

Relative energies, unit meV per atom: run w 114; run x 92; run y 121; run z 0